No. 1
La8Pm2Er: relaxed, PBE-GGA.

Cell: 9.6558 9.6558 6.0890 Å, 105.53 105.53 122.48°
Fractional coordinates of all 11 atoms:
La 0.0959 0.3310 0.6826
La 0.2050 0.7950 0.0000
La 0.3310 0.0959 0.6826
La 0.4193 0.4193 0.2007
La 0.5807 0.5807 0.7993
La 0.6690 0.9041 0.3174
La 0.7950 0.2050 0.0000
La 0.9041 0.6690 0.3174
Pm 0.3097 0.6903 0.5000
Pm 0.6903 0.3097 0.5000
Er 0.0000 0.0000 0.0000

Values from the calculation:
For the calculated formation energy, the calculation gives 122 meV per atom. Its final energy is -0.1742 Ha/atom. Its excess energy over the best structure of this formula in the dataset is 2.12 kJ/mol of atoms. Its space-group type is C2/m, No. 12. For the size of the total moment, the calculation gives 0.00 Bohr magnetons per cell.

=====

No. 2
La8Pm4Er: relaxed, PBE-GGA.

Cell: 7.9454 7.9454 7.9454 Å, 96.90 96.90 96.90°
Fractional coordinates of all 13 atoms:
La 0.1714 0.1714 0.6716
La 0.1714 0.6716 0.1714
La 0.2368 0.2368 0.2368
La 0.3284 0.8286 0.8286
La 0.6716 0.1714 0.1714
La 0.7632 0.7632 0.7632
La 0.8286 0.3284 0.8286
La 0.8286 0.8286 0.3284
Pm 0.0000 0.0000 0.0000
Pm 0.0000 0.5000 0.5000
Pm 0.5000 0.0000 0.5000
Pm 0.5000 0.5000 0.0000
Er 0.5000 0.5000 0.5000

Values from the calculation:
For the calculated formation energy, the calculation gives 363 meV per atom. Its final energy is -0.1647 Ha/atom. Its space-group type is R-3m, No. 166. For the size of the total moment, the calculation gives 0.00 Bohr magnetons per cell.

=====

No. 3
La2Pm2Er7: relaxed, PBE-GGA.

Cell: 8.7675 8.7675 9.3209 Å, 90.00 90.00 144.56°
Fractional coordinates of all 11 atoms:
La 0.9998 0.9998 0.1507
La 0.0002 0.0002 0.8493
Pm 0.3173 0.6827 0.5000
Pm 0.6827 0.3173 0.5000
Er 0.1759 0.8187 0.2233
Er 0.1813 0.8241 0.7767
Er 0.4982 0.4982 0.3342
Er 0.5000 0.5000 0.0000
Er 0.5018 0.5018 0.6658
Er 0.8187 0.1759 0.2233
Er 0.8241 0.1813 0.7767

Values from the calculation:
For the calculated formation energy, the calculation gives 756 meV per atom. Its final energy is -0.1436 Ha/atom. Its excess energy over the best structure of this formula in the dataset is 39.01 kJ/mol of atoms. Its space-group type is C2/m, No. 12. For the size of the total moment, the calculation gives 0.00 Bohr magnetons per cell.

=====

No. 4
La5Pm3Er3: relaxed, PBE-GGA.

Cell: 11.4735 11.4735 3.4840 Å, 90.00 90.00 120.00°
Fractional coordinates of all 11 atoms:
La 0.0000 0.3365 0.0000
La 0.3333 0.6667 0.0000
La 0.3365 0.0000 0.0000
La 0.6635 0.6635 0.0000
La 0.6667 0.3333 0.0000
Pm 0.0000 0.5986 0.5000
Pm 0.4014 0.4014 0.5000
Pm 0.5986 0.0000 0.5000
Er 0.0000 0.8411 0.0000
Er 0.1589 0.1589 0.0000
Er 0.8411 0.0000 0.0000

Values from the calculation:
For the calculated formation energy, the calculation gives 289 meV per atom. Its final energy is -0.1650 Ha/atom. Its space-group type is P-62m, No. 189. For the size of the total moment, the calculation gives 0.00 Bohr magnetons per cell.